DFT (GGA-PBE) results for a relaxed Pm4Tm2Sc3 crystal.

The structure belongs to space group C2/m (No. 12); the cell edges are 10.889, 4.978 and 10.412 Å and the angles 90.00°, 107.71° and 90.00°. Symmetry generates all atoms from Pm at (0.005, 0.000, 0.335), Pm at (0.166, 0.500, 0.888), Tm at (0.170, 0.500, 0.228), Sc at (0.000, 0.000, 0.000) and Sc at (0.164, 0.500, 0.552).

The calculation puts the total moment at 0.00 μB/cell. The calculation puts the calculated total energy at -5.1670 eV per atom. The value obtained for the polymorph energy (0 for the lowest one) is 0 meV/atom.

DFT (GGA-PBE) results for a relaxed PmTmSc3 crystal.

The structure belongs to space group P2_1/c (No. 14); the cell edges are 8.734, 5.970 and 11.623 Å and the angles 90.00°, 114.63° and 90.00°. Symmetry generates all atoms from Pm at (0.157, 0.168, 0.103), Tm at (0.259, 0.661, 0.000), Sc at (0.052, 0.666, 0.204), Sc at (0.353, 0.162, 0.900) and Sc at (0.448, 0.675, 0.799).

The calculation puts the total moment at 0.00 μB/cell. The calculation puts the calculated total energy at -5.6140 eV per atom. The value obtained for the polymorph energy (0 for the lowest one) is 0 meV/atom.

DFT (GGA-PBE) results for a relaxed Pm3Tm8Sc2 crystal.

The structure belongs to space group C2/m (No. 12); the cell edges are 19.380, 7.663 and 5.521 Å and the angles 90.00°, 90.03° and 90.00°. Symmetry generates all atoms from Pm at (0.000, 0.000, 0.000), Pm at (0.000, 0.293, 0.500), Tm at (0.114, 0.291, 0.000), Tm at (0.136, 0.000, 0.500), Tm at (0.178, 0.500, 0.501) and Sc at (0.240, 0.000, 0.999).

The calculation puts the total moment at 0.00 μB/cell. The calculation puts the calculated total energy at -4.5683 eV per atom. The value obtained for the polymorph energy (0 for the lowest one) is 0 meV/atom.